No. 1
A plane-wave DFT calculation with GGA-PBE was carried out for a relaxed AcNd3Ga2 crystal.

Calculated values
final energy	-4.395	eV/atom
Fermi-level density of states	1.06	states/eV per atom
excess energy over the best structure of this formula in the dataset	54	meV/atom
calculated formation energy	-317.6	meV/atom

Cell lengths 18.059, 4.844, 9.173 Å; angles 90.00, 113.34, 90.00 degrees
Space group C2/m (No. 12)
Unique sites:
Ac1 0.120 0.000 0.153 (multiplicity 4)
Nd1 0.049 0.000 0.690 (multiplicity 4)
Nd2 0.147 0.500 0.482 (multiplicity 4)
Nd3 0.182 0.500 0.933 (multiplicity 4)
Ga1 0.003 0.500 0.855 (multiplicity 4)
Ga2 0.226 0.000 0.700 (multiplicity 4)


No. 2
A plane-wave DFT calculation with GGA-PBE was carried out for a relaxed LiTbHg2 crystal.

Calculated values
final energy	-2.235	eV/atom
Fermi-level density of states	0.56	states/eV per atom
calculated formation energy	-447.9	meV/atom

Cell lengths 7.119, 7.119, 7.119 Å; angles 90.00, 90.00, 90.00 degrees
Space group Fm-3m (No. 225)
Unique sites:
Li1 0.000 0.000 0.000 (multiplicity 4)
Tb1 0.000 0.000 0.500 (multiplicity 4)
Hg1 0.250 0.250 0.250 (multiplicity 8)


No. 3
A plane-wave DFT calculation with GGA-PBE was carried out for a relaxed AcCdHgIr crystal.

Calculated values
final energy	-3.677	eV/atom
Fermi-level density of states	0.80	states/eV per atom
calculated formation energy	-130.8	meV/atom

Cell lengths 7.331, 7.331, 7.331 Å; angles 90.00, 90.00, 90.00 degrees
Space group F-43m (No. 216)
Unique sites:
Ac1 0.000 0.000 0.000 (multiplicity 4)
Cd1 0.000 0.000 0.500 (multiplicity 4)
Hg1 0.250 0.250 0.250 (multiplicity 4)
Ir1 0.250 0.250 0.750 (multiplicity 4)


No. 4
A plane-wave DFT calculation with GGA-PBE was carried out for a relaxed LiCuOF crystal.

Calculated values
final energy	-4.856	eV/atom
Fermi-level density of states	0.27	states/eV per atom
formation energy without anion corrections	-158.86	kJ per mole of atoms

Cell lengths 2.790, 2.790, 5.085 Å; angles 90.00, 90.00, 90.00 degrees
Space group P4/mmm (No. 123)
Unique sites:
Li1 0.000 0.000 0.000 (multiplicity 1)
Cu1 0.500 0.500 0.500 (multiplicity 1)
O1 0.000 0.000 0.500 (multiplicity 1)
F1 0.500 0.500 0.000 (multiplicity 1)


No. 5
A plane-wave DFT calculation with GGA-PBE was carried out for a relaxed CaMnSe crystal.

Calculated values
final energy	-5.245	eV/atom
Fermi-level density of states	0.64	states/eV per atom
excess energy over the best structure of this formula in the dataset	414	meV/atom
formation energy without anion corrections	-34.76	kJ per mole of atoms

Cell lengths 4.550, 5.493, 11.235 Å; angles 90.00, 90.00, 90.00 degrees
Space group Fmm2 (No. 42)
Unique sites:
Ca1 0.000 0.000 0.000 (multiplicity 4)
Mn1 0.000 0.000 0.708 (multiplicity 4)
Se1 0.000 0.000 0.326 (multiplicity 4)


No. 6
A plane-wave DFT calculation with GGA-PBE was carried out for a relaxed La2AsP crystal.

Calculated values
final energy	-6.205	eV/atom
Fermi-level density of states	0.24	states/eV per atom
excess energy over the best structure of this formula in the dataset	347	meV/atom
calculated formation energy	-1226.2	meV/atom

Cell lengths 3.684, 3.808, 7.467 Å; angles 90.00, 100.03, 90.00 degrees
Space group P2/m (No. 10)
Unique sites:
La1 0.011 0.000 0.257 (multiplicity 2)
As1 0.500 0.500 0.000 (multiplicity 1)
P1 0.500 0.500 0.500 (multiplicity 1)


No. 7
A plane-wave DFT calculation with GGA-PBE was carried out for a relaxed Cs2MoCl crystal.

Calculated values
final energy	-3.253	eV/atom
Fermi-level density of states	0.00	states/eV per atom
excess energy over the best structure of this formula in the dataset	0	meV/atom
formation energy without anion corrections	33.13	kJ per mole of atoms

Cell lengths 9.726, 9.726, 10.445 Å; angles 90.00, 90.00, 90.00 degrees
Space group I-42d (No. 122)
Unique sites:
Cs1 0.192 0.750 0.125 (multiplicity 8)
Mo1 0.000 0.000 0.500 (multiplicity 4)
Cl1 0.000 0.000 0.000 (multiplicity 4)


No. 8
A plane-wave DFT calculation with GGA-PBE was carried out for a relaxed LaPr14Sn crystal.

Calculated values
final energy	-4.812	eV/atom
Fermi-level density of states	1.37	states/eV per atom
calculated formation energy	-71.4	meV/atom

Cell lengths 7.353, 7.353, 10.334 Å; angles 90.00, 90.00, 90.00 degrees
Space group P4/mmm (No. 123)
Unique sites:
La1 0.000 0.000 0.000 (multiplicity 1)
Pr1 0.000 0.000 0.500 (multiplicity 1)
Pr2 0.000 0.500 0.000 (multiplicity 2)
Pr3 0.000 0.500 0.500 (multiplicity 2)
Pr4 0.258 0.258 0.243 (multiplicity 8)
Pr5 0.500 0.500 0.500 (multiplicity 1)
Sn1 0.500 0.500 0.000 (multiplicity 1)


No. 9
A plane-wave DFT calculation with GGA-PBE was carried out for a relaxed HfSi2Ru crystal.

Calculated values
final energy	-7.792	eV/atom
Fermi-level density of states	1.23	states/eV per atom
formation energy without anion corrections	-26.35	kJ per mole of atoms

Cell lengths 6.241, 6.241, 6.241 Å; angles 90.00, 90.00, 90.00 degrees
Space group Fm-3m (No. 225)
Unique sites:
Hf1 0.000 0.000 0.000 (multiplicity 4)
Si1 0.250 0.250 0.250 (multiplicity 8)
Ru1 0.000 0.000 0.500 (multiplicity 4)


No. 10
A plane-wave DFT calculation with GGA-PBE was carried out for a relaxed CsLaO2 crystal.

Calculated values
final energy	-6.238	eV/atom
Fermi-level density of states	0.00	states/eV per atom
formation energy without anion corrections	-223.24	kJ per mole of atoms

Cell lengths 7.538, 7.538, 6.984 Å; angles 90.00, 90.00, 90.00 degrees
Space group I4/mcm (No. 140)
Unique sites:
Cs1 0.000 0.000 0.250 (multiplicity 4)
La1 0.000 0.500 0.250 (multiplicity 4)
O1 0.142 0.358 0.000 (multiplicity 8)


No. 11
A plane-wave DFT calculation with GGA-PBE was carried out for a relaxed ScV2SnRh crystal.

Calculated values
final energy	-5.671	eV/atom
Fermi-level density of states	2.06	states/eV per atom
calculated formation energy	1513.8	meV/atom

Cell lengths 4.781, 4.781, 5.148 Å; angles 90.00, 90.00, 90.00 degrees
Space group P4/mmm (No. 123)
Unique sites:
Sc1 0.000 0.000 0.000 (multiplicity 1)
V1 0.000 0.500 0.500 (multiplicity 2)
Sn1 0.000 0.000 0.500 (multiplicity 1)
Rh1 0.500 0.500 0.000 (multiplicity 1)


No. 12
A plane-wave DFT calculation with GGA-PBE was carried out for a relaxed HoAlCdAu crystal.

Calculated values
final energy	-3.579	eV/atom
Fermi-level density of states	0.51	states/eV per atom
calculated formation energy	-450.9	meV/atom

Cell lengths 6.903, 6.903, 6.903 Å; angles 90.00, 90.00, 90.00 degrees
Space group F-43m (No. 216)
Unique sites:
Ho1 0.000 0.000 0.000 (multiplicity 4)
Al1 0.000 0.000 0.500 (multiplicity 4)
Cd1 0.250 0.250 0.750 (multiplicity 4)
Au1 0.250 0.250 0.250 (multiplicity 4)


No. 13
A plane-wave DFT calculation with GGA-PBE was carried out for a relaxed BaCa3Rh crystal.

Calculated values
final energy	-3.117	eV/atom
Fermi-level density of states	1.19	states/eV per atom
excess energy over the best structure of this formula in the dataset	167	meV/atom
calculated formation energy	-61.2	meV/atom

Cell lengths 8.929, 12.527, 6.790 Å; angles 90.00, 90.00, 90.00 degrees
Space group Cmcm (No. 63)
Unique sites:
Ba1 0.000 0.079 0.250 (multiplicity 4)
Ca1 0.000 0.500 0.000 (multiplicity 4)
Ca2 0.193 0.215 0.750 (multiplicity 8)
Rh1 0.000 0.308 0.250 (multiplicity 4)


No. 14
A plane-wave DFT calculation with GGA-PBE was carried out for a relaxed Cs3Tm2USe6 crystal.

Calculated values
final energy	-5.162	eV/atom
Fermi-level density of states	0.94	states/eV per atom
formation energy without anion corrections	-146.70	kJ per mole of atoms

Cell lengths 7.377, 12.779, 8.733 Å; angles 90.00, 106.35, 90.00 degrees
Space group C2/m (No. 12)
Unique sites:
Cs1 0.000 0.000 0.000 (multiplicity 2)
Cs2 0.000 0.334 0.000 (multiplicity 4)
Tm1 0.000 0.167 0.500 (multiplicity 4)
U1 0.000 0.500 0.500 (multiplicity 2)
Se1 0.221 0.000 0.685 (multiplicity 4)
Se2 0.232 0.330 0.685 (multiplicity 8)


No. 15
A plane-wave DFT calculation with GGA-PBE was carried out for a relaxed LuMgAlPd crystal.

Calculated values
final energy	-4.297	eV/atom
Fermi-level density of states	0.24	states/eV per atom
calculated formation energy	-534.0	meV/atom

Cell lengths 6.754, 6.754, 6.754 Å; angles 90.00, 90.00, 90.00 degrees
Space group F-43m (No. 216)
Unique sites:
Lu1 0.000 0.000 0.000 (multiplicity 4)
Mg1 0.000 0.000 0.500 (multiplicity 4)
Al1 0.250 0.250 0.250 (multiplicity 4)
Pd1 0.250 0.250 0.750 (multiplicity 4)


No. 16
A plane-wave DFT calculation with GGA-PBE was carried out for a relaxed Ce3TeAs2 crystal.

Calculated values
final energy	-6.095	eV/atom
Fermi-level density of states	2.44	states/eV per atom
excess energy over the best structure of this formula in the dataset	353	meV/atom
formation energy without anion corrections	-101.78	kJ per mole of atoms

Cell lengths 4.802, 13.948, 10.160 Å; angles 90.00, 90.00, 90.00 degrees
Space group Cmcm (No. 63)
Unique sites:
Ce1 0.000 0.106 0.250 (multiplicity 4)
Ce2 0.000 0.371 0.044 (multiplicity 8)
Te1 0.000 0.229 0.750 (multiplicity 4)
As1 0.000 0.000 0.000 (multiplicity 4)
As2 0.000 0.492 0.750 (multiplicity 4)


No. 17
A plane-wave DFT calculation with GGA-PBE was carried out for a relaxed Ac4NiRhSe2 crystal.

Calculated values
final energy	-5.700	eV/atom
Fermi-level density of states	0.69	states/eV per atom
formation energy without anion corrections	-109.36	kJ per mole of atoms

Cell lengths 7.428, 4.305, 8.124 Å; angles 90.00, 107.95, 90.00 degrees
Space group P2/m (No. 10)
Unique sites:
Ac1 0.241 0.000 0.224 (multiplicity 2)
Ac2 0.259 0.500 0.775 (multiplicity 2)
Ni1 0.000 0.500 0.000 (multiplicity 1)
Rh1 0.500 0.000 0.000 (multiplicity 1)
Se1 0.000 0.000 0.500 (multiplicity 1)
Se2 0.500 0.500 0.500 (multiplicity 1)


No. 18
A plane-wave DFT calculation with GGA-PBE was carried out for a relaxed Sc2MoPb crystal.

Calculated values
final energy	-6.762	eV/atom
Fermi-level density of states	0.94	states/eV per atom
calculated formation energy	38.5	meV/atom

Cell lengths 3.155, 5.065, 5.254 Å; angles 90.00, 90.00, 90.00 degrees
Space group Pmm2 (No. 25)
Unique sites:
Sc1 0.000 0.000 0.000 (multiplicity 1)
Sc2 0.000 0.500 0.389 (multiplicity 1)
Mo1 0.500 0.500 0.896 (multiplicity 1)
Pb1 0.500 0.000 0.518 (multiplicity 1)


No. 19
A plane-wave DFT calculation with GGA-PBE was carried out for a relaxed Tc3GeAu crystal.

Calculated values
final energy	-6.466	eV/atom
Fermi-level density of states	1.16	states/eV per atom
excess energy over the best structure of this formula in the dataset	0	meV/atom
calculated formation energy	1332.4	meV/atom

Cell lengths 4.523, 4.523, 4.523 Å; angles 90.00, 90.00, 90.00 degrees
Space group Pm-3m (No. 221)
Unique sites:
Tc1 0.000 0.000 0.500 (multiplicity 3)
Ge1 0.000 0.000 0.000 (multiplicity 1)
Au1 0.500 0.500 0.500 (multiplicity 1)


No. 20
A plane-wave DFT calculation with GGA-PBE was carried out for a relaxed Pt2AuSe crystal.

Calculated values
final energy	-4.514	eV/atom
Fermi-level density of states	0.68	states/eV per atom
formation energy without anion corrections	19.03	kJ per mole of atoms

Cell lengths 6.813, 6.841, 2.938 Å; angles 90.00, 90.00, 90.00 degrees
Space group Cmmm (No. 65)
Unique sites:
Pt1 0.250 0.250 0.000 (multiplicity 4)
Au1 0.000 0.000 0.500 (multiplicity 2)
Se1 0.000 0.500 0.500 (multiplicity 2)


No. 21
A plane-wave DFT calculation with GGA-PBE was carried out for a relaxed TbZrC2 crystal.

Calculated values
final energy	-7.945	eV/atom
Fermi-level density of states	0.73	states/eV per atom
excess energy over the best structure of this formula in the dataset	330	meV/atom
calculated formation energy	-38.0	meV/atom

Cell lengths 3.5150, 3.5150, 17.1067 Å; angles 90.00, 90.00, 120.00 degrees
Space group R3m (No. 160, hexagonal axes)
Unique sites:
Tb1 0.0000 0.0000 0.0000 (multiplicity 3)
Zr1 0.0000 0.0000 0.8247 (multiplicity 3)
C1 0.0000 0.0000 0.4203 (multiplicity 3)
C2 0.0000 0.0000 0.5619 (multiplicity 3)


No. 22
A plane-wave DFT calculation with GGA-PBE was carried out for a relaxed Pm4Sm3Pt4 crystal.

Calculated values
final energy	-6.004	eV/atom
Fermi-level density of states	1.08	states/eV per atom
calculated formation energy	-792.4	meV/atom

Cell lengths 4.658, 7.918, 15.925 Å; angles 90.00, 90.00, 90.00 degrees
Space group Immm (No. 71)
Unique sites:
Pm1 0.000 0.214 0.169 (multiplicity 8)
Sm1 0.000 0.000 0.402 (multiplicity 4)
Sm2 0.000 0.500 0.500 (multiplicity 2)
Pt1 0.000 0.320 0.000 (multiplicity 4)
Pt2 0.000 0.500 0.293 (multiplicity 4)


No. 23
A plane-wave DFT calculation with GGA-PBE was carried out for a relaxed BeGeB2Te crystal.

Calculated values
final energy	-3.744	eV/atom
Fermi-level density of states	0.32	states/eV per atom
formation energy without anion corrections	118.13	kJ per mole of atoms

Cell lengths 3.974, 3.974, 4.911 Å; angles 90.00, 90.00, 90.00 degrees
Space group P4/mmm (No. 123)
Unique sites:
Be1 0.000 0.000 0.000 (multiplicity 1)
Ge1 0.000 0.000 0.500 (multiplicity 1)
B1 0.000 0.500 0.000 (multiplicity 2)
Te1 0.500 0.500 0.500 (multiplicity 1)


No. 24
A plane-wave DFT calculation with GGA-PBE was carried out for a relaxed KLiIn3 crystal.

Calculated values
final energy	-2.434	eV/atom
Fermi-level density of states	0.36	states/eV per atom
excess energy over the best structure of this formula in the dataset	0	meV/atom
calculated formation energy	-188.5	meV/atom

Cell lengths 6.778, 5.021, 8.696 Å; angles 90.00, 112.87, 90.00 degrees
Space group P2_1/m (No. 11)
Unique sites:
K1 0.077 0.250 0.156 (multiplicity 2)
Li1 0.351 0.750 0.701 (multiplicity 2)
In1 0.036 0.250 0.603 (multiplicity 2)
In2 0.435 0.750 0.397 (multiplicity 2)
In3 0.449 0.250 0.903 (multiplicity 2)


No. 25
A plane-wave DFT calculation with GGA-PBE was carried out for a relaxed Sm2HfAs crystal.

Calculated values
final energy	-6.029	eV/atom
Fermi-level density of states	1.24	states/eV per atom
calculated formation energy	-19.0	meV/atom

Cell lengths 3.7515, 3.7515, 29.7027 Å; angles 90.00, 90.00, 120.00 degrees
Space group R-3m (No. 166, hexagonal axes)
Unique sites:
Sm1 0.0000 0.0000 0.1053 (multiplicity 6)
Hf1 0.0000 0.0000 0.0000 (multiplicity 3)
As1 0.0000 0.0000 0.5000 (multiplicity 3)


No. 26
A plane-wave DFT calculation with GGA-PBE was carried out for a relaxed La6Pm5Y crystal.

Calculated values
final energy	-4.965	eV/atom
Fermi-level density of states	1.75	states/eV per atom
excess energy over the best structure of this formula in the dataset	3	meV/atom
calculated formation energy	16.6	meV/atom

Cell lengths 6.363, 7.416, 9.767 Å; angles 112.30, 90.68, 90.08 degrees
Space group P-1 (No. 2)
Unique sites:
La1 0.000 0.250 0.000 (multiplicity 2)
La2 0.334 0.083 0.667 (multiplicity 2)
La3 0.334 0.584 0.667 (multiplicity 2)
Pm1 0.166 0.167 0.333 (multiplicity 2)
Pm2 0.166 0.666 0.333 (multiplicity 2)
Pm3 0.500 0.000 0.000 (multiplicity 1)
Y1 0.500 0.500 0.000 (multiplicity 1)